Record 1
Compound: Tm4In3Pd
Source: Alexandria
Functional: PBE
Structure: optimized geometry

a = 3.5390 Å, b = 3.5390 Å, c = 15.6143 Å
α = 90.00°, β = 90.00°, γ = 90.00°
Closest atoms and distances in Å follow each position.
Space group P4/mmm (No. 123)
Inequivalent atoms, fractional coordinates:
Tm 0.0000 0.0000 0.1062 x2  4 Pd 3.00, 4 In 3.25, 1 Tm 3.32
Tm 0.0000 0.0000 0.3686 x2  8 In 3.22-3.24, 4 Tm 3.54
In 0.5000 0.5000 0.2390 x2  8 Tm 3.22-3.25, 4 In 3.54
In 0.5000 0.5000 0.5000 x1  8 Tm 3.24, 4 In 3.54
Pd 0.5000 0.5000 0.0000 x1  8 Tm 3.00

Computed properties:
- Total magnetization: 0.000 μB per formula unit
- Fermi-level density of states: 5.2 states/eV/f.u.
- Formation energy: -0.564 eV/atom
- E: -0.1645 hartree per atom

***

Record 2
Compound: CuRh
Source: Alexandria
Functional: PBE
Structure: optimized geometry

a = 2.6473 Å, b = 2.6473 Å, c = 9.2863 Å
α = 90.00°, β = 90.00°, γ = 120.00°
Closest atoms and distances in Å follow each position.
Space group P6_3mc (No. 186)
Inequivalent atoms, fractional coordinates:
Cu 0.3333 0.6667 0.0000 x2  4 Rh 2.49-2.64, 6 Cu 2.65
Rh 0.3333 0.6667 0.7316 x2  4 Cu 2.49-2.64, 6 Rh 2.65

Computed properties:
- Total magnetization: 0.565 μB per formula unit
- Fermi-level density of states: 3.5 states/eV/f.u.
- Formation energy: 0.287 eV/atom
- E: -0.1998 hartree per atom

***

Record 3
Compound: LiTcAs2
Source: Alexandria
Functional: PBE
Structure: optimized geometry

a = 6.2706 Å, b = 6.2706 Å, c = 6.2706 Å
α = 90.00°, β = 90.00°, γ = 90.00°
Closest atoms and distances in Å follow each position.
Space group F-43m (No. 216)
Inequivalent atoms, fractional coordinates:
Li 0.0000 0.0000 0.0000 x4  4 As 2.72, 4 Tc 2.72
Tc 0.2500 0.2500 0.7500 x4  4 Li 2.72, 4 As 2.72
As 0.0000 0.0000 0.5000 x4  4 Tc 2.72, 4 As 2.72
As 0.2500 0.2500 0.2500 x4  4 As 2.72, 4 Li 2.72

Computed properties:
- Total magnetization: 0.199 μB per formula unit
- Fermi-level density of states: 4.4 states/eV/f.u.
- Formation energy: 0.301 eV/atom
- E: -0.1872 hartree per atom
- Energy above the lowest structure with this stoichiometry: 646 meV/atom

***

Record 4
Compound: Sc2TlCdC
Source: Alexandria
Functional: PBE
Structure: optimized geometry

a = 4.5606 Å, b = 4.5606 Å, c = 4.6104 Å
α = 90.00°, β = 90.00°, γ = 90.00°
Closest atoms and distances in Å follow each position.
Space group P4/mmm (No. 123)
Inequivalent atoms, fractional coordinates:
Sc 0.0000 0.5000 0.0000 x2  2 C 2.28
Tl 0.0000 0.0000 0.5000 x1  4 Cd 3.22, 8 Sc 3.24
Cd 0.5000 0.5000 0.5000 x1  2 C 2.31
C 0.5000 0.5000 0.0000 x1  4 Sc 2.28, 2 Cd 2.31

Computed properties:
- Total magnetization: 0.000 μB per formula unit
- Fermi-level density of states: 1.7 states/eV/f.u.
- Formation energy: -0.196 eV/atom
- E: -0.1922 hartree per atom

***

Record 5
Compound: LaPmPtCl
Source: Alexandria
Functional: PBE
Structure: optimized geometry

a = 4.1543 Å, b = 4.1543 Å, c = 23.1114 Å
α = 90.00°, β = 90.00°, γ = 120.00°
Closest atoms and distances in Å follow each position.
Space group R3m (No. 160, hexagonal axes)
Inequivalent atoms, fractional coordinates:
La 0.0000 0.0000 0.0000 x3  3 Pt 2.91
Pm 0.0000 0.0000 0.8056 x3  3 Pt 2.87
Pt 0.0000 0.0000 0.4043 x3  3 Pm 2.87, 3 La 2.91
Cl 0.0000 0.0000 0.2321 x3  3 Pm 3.22, 3 La 3.35

Computed properties:
- Total magnetization: 0.000 μB per formula unit
- Fermi-level density of states: 3.9 states/eV/f.u.
- E: -0.2116 hartree per atom
- Energy relative to the elements, uncorrected: -1.37 eV/atom

***

Record 6
Compound: SbSeIN2
Source: Alexandria
Functional: PBE
Structure: optimized geometry

a = 4.0725 Å, b = 4.0725 Å, c = 6.4484 Å
α = 90.00°, β = 90.00°, γ = 90.00°
Closest atoms and distances in Å follow each position.
Space group P4/mmm (No. 123)
Inequivalent atoms, fractional coordinates:
Sb 0.0000 0.0000 0.0000 x1  4 N 2.04
Se 0.0000 0.0000 0.5000 x1  4 I 2.88, 2 Sb 3.22
I 0.5000 0.5000 0.5000 x1  4 Se 2.88
N 0.0000 0.5000 0.0000 x2  2 Sb 2.04

Computed properties:
- Total magnetization: 0.785 μB per formula unit
- Fermi-level density of states: 3.8 states/eV/f.u.
- E: -0.1436 hartree per atom
- Energy relative to the elements, uncorrected: 1.25 eV/atom
- Energy above the lowest structure with this stoichiometry: 0 meV/atom

***

Record 7
Compound: La6Tb2YEr
Source: Alexandria
Functional: PBE
Structure: optimized geometry

a = 9.8457 Å, b = 15.2737 Å, c = 9.2733 Å
α = 90.00°, β = 92.20°, γ = 90.00°
Closest atoms and distances in Å follow each position.
Space group C2/c (No. 15)
Inequivalent atoms, fractional coordinates:
La 0.0753 0.1506 0.4135 x8  4 La 3.32-3.66, 2 Er 3.52-3.62, 2 Tb 3.58-3.69
La 0.0760 0.3615 0.6016 x8  3 La 3.18-3.45, 1 Y 3.45, 1 Tb 3.54
La 0.2408 0.2193 0.8199 x8  3 La 3.35-3.49, 1 Er 3.44, 1 Y 3.45, 1 Tb 3.49
Tb 0.2479 0.0451 0.0637 x8  2 Er 3.44-3.73, 7 La 3.49-3.78, 1 Y 3.49
Y 0.0000 0.4244 0.2500 x4  6 La 3.45-3.64, 2 Tb 3.49
Er 0.0000 0.0598 0.7500 x4  4 Tb 3.44-3.73, 6 La 3.44-3.62

Computed properties:
- Total magnetization: 0.000 μB per formula unit
- Fermi-level density of states: 11.3 states/eV/f.u.
- Formation energy: 0.115 eV/atom
- E: -0.1790 hartree per atom

***

Record 8
Compound: BePd
Source: Alexandria
Functional: PBE
Structure: optimized geometry

a = 4.6265 Å, b = 4.6265 Å, c = 4.6002 Å
α = 90.00°, β = 90.00°, γ = 90.00°
Closest atoms and distances in Å follow each position.
Space group P4_2/mnm (No. 136)
Inequivalent atoms, fractional coordinates:
Be 0.2064 0.2064 0.0000 x4  6 Pd 2.30-2.38
Pd 0.2140 0.2140 0.5000 x4  6 Be 2.30-2.38

Computed properties:
- Total magnetization: 0.000 μB per formula unit
- Fermi-level density of states: 0.6 states/eV/f.u.
- Formation energy: -0.251 eV/atom
- E: -0.1731 hartree per atom